{"formula": "LaCdGa2Co", "functional": "PBE", "state": "relaxed", "e_form_ev_per_atom": -0.337, "energy_ry_per_atom": -0.304, "e_above_lowest_polymorph_kj_per_mol_atoms": 0.0, "m_tot_mub_per_atom": 0.00, "volume_a3_per_atom": 21.1, "lattice_angstrom": [[-4.384, -1.360, 0.555], [1.402, -3.347, 2.866], [-0.470, 3.076, 3.823]], "species": ["Cd", "Co", "Ga", "Ga", "La"], "frac_coords": [[0.000, 0.000, 0.500], [0.000, 0.000, 0.000], [0.500, 0.000, 0.000], [0.000, 0.500, 0.000], [0.500, 0.500, 0.500]]}